No. 1
## MgRu4Rh (PBE)

Data for an optimized crystal structure of MgRu4Rh.

a b c (Å): 5.093 5.093 5.093
angles (deg): 60.00 60.00 60.00
Element x y z (fractional)
Mg (0.000, 0.000, 0.000)
Ru (0.375, 0.375, 0.375)
Ru (0.375, 0.375, 0.874)
Ru (0.375, 0.874, 0.375)
Ru (0.874, 0.375, 0.375)
Rh (0.750, 0.750, 0.750)

=====

No. 2
## Hg2PtCl (PBE)

Data for an optimized crystal structure of Hg2PtCl.

a b c (Å): 3.387 7.227 8.636
angles (deg): 90.00 90.00 90.00
Element x y z (fractional)
Hg (0.000, 0.000, 0.242)
Hg (0.000, 0.000, 0.758)
Hg (0.500, 0.500, 0.258)
Hg (0.500, 0.500, 0.742)
Pt (0.000, 0.500, 0.500)
Pt (0.500, 0.000, 0.000)
Cl (0.000, 0.500, 0.000)
Cl (0.500, 0.000, 0.500)

raw formation energy	119	meV/atom
polymorph energy (0 for the lowest one)	177	meV/atom

=====

No. 3
## Tm3SnP2Ir9 (PBE)

Data for an optimized crystal structure of Tm3SnP2Ir9.

a b c (Å): 5.615 5.615 10.526
angles (deg): 90.00 90.00 120.00
Element x y z (fractional)
Tm (0.000, 0.000, 0.000)
Tm (0.333, 0.667, 0.593)
Tm (0.667, 0.333, 0.407)
Sn (0.000, 0.000, 0.500)
P (0.333, 0.667, 0.156)
P (0.667, 0.333, 0.844)
Ir (0.000, 0.500, 0.000)
Ir (0.161, 0.322, 0.300)
Ir (0.161, 0.839, 0.300)
Ir (0.322, 0.161, 0.700)
Ir (0.500, 0.000, 0.000)
Ir (0.500, 0.500, 0.000)
Ir (0.678, 0.839, 0.300)
Ir (0.839, 0.161, 0.700)
Ir (0.839, 0.678, 0.700)

=====

No. 4
## PrSmSeS (PBE)

Data for an optimized crystal structure of PrSmSeS.

a b c (Å): 4.151 4.151 5.846
angles (deg): 90.00 90.00 90.00
Element x y z (fractional)
Pr (0.000, 0.000, 0.000)
Sm (0.500, 0.500, 0.500)
Se (0.500, 0.500, 0.000)
S (0.000, 0.000, 0.500)

raw formation energy	-1891	meV/atom
polymorph energy (0 for the lowest one)	47	meV/atom

=====

In μB/cell, the size of the total moment values for the records above are, in order, 1.8 0.0 0.0 0.0.
In eV for the cell shown, the VASP energy values for the records above are, in order, -43.775 -16.030 -113.216 -24.673.